(1)
The following is a GGA-PBE calculation of an optimized crystal structure of Ba8LiIrPd2, from the Alexandria database.

Output
The calculation puts the formation energy at -223 meV per atom. The magnetic moment comes out at 0.00 μB/cell. The mass density is 4.4 g cm⁻³.

abc: 7.601 9.532 7.820
angles: 90.00 90.83 90.00
Fractional coordinates of all 12 atoms:
Ba: 0.217 0.000 0.353
Ba: 0.245 0.500 0.317
Ba: 0.262 0.276 0.827
Ba: 0.262 0.724 0.827
Ba: 0.738 0.276 0.173
Ba: 0.738 0.724 0.173
Ba: 0.755 0.500 0.683
Ba: 0.783 0.000 0.647
Li: 0.500 0.000 0.000
Ir: 0.500 0.500 0.000
Pd: 0.000 0.258 0.500
Pd: 0.000 0.742 0.500

***

(2)
The following is a GGA-PBE calculation of an optimized crystal structure of ScHg2, from the Alexandria database.

Output
The calculation puts the formation energy at -276 meV per atom. The magnetic moment comes out at 0.60 μB/cell. The mass density is 11.1 g cm⁻³.

abc: 3.388 3.388 11.608
angles: 90.00 90.00 90.00
Fractional coordinates of all 6 atoms:
Sc: 0.000 0.000 0.000
Sc: 0.500 0.500 0.500
Hg: 0.000 0.000 0.339
Hg: 0.000 0.000 0.661
Hg: 0.500 0.500 0.161
Hg: 0.500 0.500 0.839

***

(3)
The following is a GGA-PBE calculation of an optimized crystal structure of SrCoTe2, from the Alexandria database.

Output
The magnetic moment comes out at 1.11 μB/cell. The calculation puts the energy relative to the elements, uncorrected at -0.52 eV per atom. The mass density is 5.7 g cm⁻³.

abc: 4.452 3.923 6.811
angles: 90.00 101.12 90.00
Fractional coordinates of all 4 atoms:
Sr: 0.000 0.000 0.000
Co: 0.500 0.000 0.500
Te: 0.419 0.500 0.723
Te: 0.581 0.500 0.277

***

(4)
The following is a GGA-PBE calculation of an optimized crystal structure of Cs4K2Cd2O, from the Alexandria database.

Output
The magnetic moment comes out at 0.00 μB/cell. The calculation puts the energy relative to the elements, uncorrected at -0.32 eV per atom. The mass density is 3.0 g cm⁻³.

abc: 8.527 8.527 7.409
angles: 95.47 95.47 60.55
Fractional coordinates of all 9 atoms:
Cs: 0.156 0.673 0.699
Cs: 0.327 0.844 0.301
Cs: 0.673 0.156 0.699
Cs: 0.844 0.327 0.301
K: 0.147 0.147 0.748
K: 0.853 0.853 0.252
Cd: 0.330 0.330 0.206
Cd: 0.670 0.670 0.794
O: 0.000 0.000 0.500

***

(5)
The following is a GGA-PBE calculation of an optimized crystal structure of SiIrBr2, from the Alexandria database.

Output
The magnetic moment comes out at 0.00 μB/cell. The calculation puts the energy relative to the elements, uncorrected at 0.85 eV per atom. Its energy above the most stable polymorph in this dataset is 23.58 kcal/mol of atoms. The mass density is 7.9 g cm⁻³.

abc: 3.138 4.393 5.779
angles: 90.00 90.00 90.00
Fractional coordinates of all 4 atoms:
Si: 0.000 0.000 0.000
Ir: 0.500 0.000 0.500
Br: 0.000 0.500 0.500
Br: 0.500 0.500 0.000

***

(6)
The following is a GGA-PBE calculation of an optimized crystal structure of Ca2NdHfP4, from the Alexandria database.

Output
The calculation puts the formation energy at -1182 meV per atom. The magnetic moment comes out at 0.00 μB/cell. The mass density is 4.7 g cm⁻³.

abc: 6.946 3.987 7.071
angles: 90.00 108.83 90.00
Fractional coordinates of all 8 atoms:
Ca: 0.000 0.000 0.000
Ca: 0.500 0.500 0.000
Nd: 0.000 0.500 0.500
Hf: 0.500 0.000 0.500
P: 0.267 0.000 0.736
P: 0.277 0.500 0.275
P: 0.723 0.500 0.725
P: 0.733 0.000 0.264